9
Lattice="-3.296 2.792 0.372 1.058 2.104 -6.416 -4.263 -5.197 1.233" Properties=species:S:1:pos:R:3 comment="AcPr2Co6 (PBE, relaxed)" ef_mev_per_atom=-20 dos_at_fermi_per_ev_cell=8.916 m_tot_mub_per_cell=4.805 sg="P6/mmm (191)" pbc="T T T"
Ac 0.000 0.000 0.000
Pr -2.489 -2.764 -1.317
Pr -4.012 2.462 -3.494
Co -2.723 0.359 -1.552
Co -3.778 -0.660 -3.259
Co -4.482 -2.059 1.005
Co -5.208 -2.403 -2.846
Co -1.293 2.101 -1.965
Co -2.019 1.757 -5.816


13
Lattice="-0.831 -1.526 3.911 -9.046 -4.985 -1.524 4.684 -9.326 -0.302" Properties=species:S:1:pos:R:3 comment="Ac8PrCo4 (PBE, relaxed)" ef_mev_per_atom=5 dos_at_fermi_per_ev_cell=8.643 m_tot_mub_per_cell=0.001 sg="I4/m (87)" pbc="T T T"
Ac 0.912 -3.782 1.060
Ac -6.104 -12.055 1.025
Ac -6.383 -4.709 1.490
Ac 1.190 -11.128 0.595
Ac 0.230 -7.303 -0.458
Ac -5.423 -8.534 2.544
Ac -2.624 -5.627 1.931
Ac -2.568 -10.210 0.154
Pr 0.000 0.000 0.000
Co -5.273 -9.494 -0.141
Co 0.081 -6.343 2.226
Co -1.149 -11.357 2.350
Co -4.043 -4.480 -0.265


5
Lattice="4.099 0.000 0.000 0.000 3.853 -1.095 0.000 0.353 8.568" Properties=species:S:1:pos:R:3 comment="AcPr2Co2 (PBE, relaxed)" ef_mev_per_atom=-2 e_above_lowest_polymorph_ev_per_fu=0.000 dos_at_fermi_per_ev_cell=6.045 m_tot_mub_per_cell=1.061 sg="Cmmm (65)" pbc="T T T"
Ac 0.000 0.000 0.000
Pr 2.050 2.634 1.941
Pr 2.050 1.572 5.531
Co 0.000 0.997 3.508
Co 0.000 3.209 3.964


10
Lattice="7.926 0.986 3.449 3.191 6.650 1.719 1.480 0.495 7.411" Properties=species:S:1:pos:R:3 comment="AcPr3Co (PBE, relaxed)" ef_mev_per_atom=-31 e_above_lowest_polymorph_ev_per_fu=0.000 dos_at_fermi_per_ev_cell=10.378 m_tot_mub_per_cell=0.000 sg="C2/m (12)" pbc="T T T"
Ac 11.036 7.633 11.571
Ac 1.561 0.498 1.007
Pr 3.145 0.818 4.499
Pr 3.855 3.372 2.136
Pr 8.742 4.758 10.442
Pr 4.541 4.119 5.819
Pr 9.452 7.313 8.080
Pr 8.056 4.012 6.760
Co 5.988 2.394 4.389
Co 6.608 5.737 8.190


7
Lattice="3.898 0.003 0.002 1.945 6.292 1.873 0.001 -0.074 8.961" Properties=species:S:1:pos:R:3 comment="Ac3Pr2Co2 (PBE, relaxed)" ef_mev_per_atom=9 dos_at_fermi_per_ev_cell=8.319 m_tot_mub_per_cell=0.000 sg="C2/m (12)" pbc="T T T"
Ac 1.949 0.002 0.001
Ac 3.894 4.714 5.153
Ac 1.949 1.507 5.684
Pr 3.896 2.321 2.327
Pr 1.947 3.899 8.510
Co 3.895 1.969 8.031
Co 1.948 4.251 2.806


18
Lattice="5.761 0.000 0.000 0.000 8.859 0.000 0.000 0.000 8.859" Properties=species:S:1:pos:R:3 comment="AcPr4Co4 (PBE, relaxed)" ef_mev_per_atom=81 dos_at_fermi_per_ev_cell=11.659 m_tot_mub_per_cell=0.000 sg="P4_2/n (86)" pbc="T T T"
Ac 0.000 0.000 0.000
Ac 2.880 4.429 4.429
Pr 2.244 2.790 8.146
Pr 5.125 5.142 7.219
Pr 2.244 6.069 0.712
Pr 0.636 1.640 5.142
Pr 3.517 8.146 6.069
Pr 0.636 7.219 3.717
Pr 5.125 3.717 1.640
Pr 3.517 0.712 2.790
Co 3.640 6.843 3.167
Co 3.640 2.016 5.692
Co 0.760 7.596 6.445
Co 5.001 2.413 7.596
Co 5.001 6.445 1.263
Co 2.121 3.167 2.016
Co 2.121 5.692 6.843
Co 0.760 1.263 2.413


10
Lattice="4.496 0.000 0.000 0.000 7.662 -0.020 0.000 0.047 7.662" Properties=species:S:1:pos:R:3 comment="Ac3Pr3Co4 (PBE, relaxed)" ef_mev_per_atom=86 dos_at_fermi_per_ev_cell=12.063 m_tot_mub_per_cell=1.022 sg="Amm2 (38)" pbc="T T T"
Ac 0.000 3.929 0.036
Ac 0.000 7.639 3.714
Ac 2.248 1.330 6.368
Pr 2.248 6.409 1.244
Pr 2.248 2.597 2.557
Pr 2.248 5.130 5.068
Co 0.000 4.631 3.038
Co 0.000 3.060 4.623
Co 0.000 6.870 6.889
Co 0.000 0.761 0.833


12
Lattice="4.132 0.000 0.858 1.873 8.772 1.360 -0.113 -0.101 10.922" Properties=species:S:1:pos:R:3 comment="Ac3PrCo2 (PBE, relaxed)" ef_mev_per_atom=-26 dos_at_fermi_per_ev_cell=11.535 m_tot_mub_per_cell=0.000 sg="C2/m (12)" pbc="T T T"
Ac 0.298 0.540 8.941
Ac 5.594 8.131 4.199
Ac 4.009 5.851 11.830
Ac 1.883 2.820 1.310
Ac 4.834 7.070 7.857
Ac 1.058 1.601 5.283
Pr 2.531 3.632 8.569
Pr 3.361 5.039 4.571
Co 4.226 3.205 10.785
Co 1.666 5.467 2.355
Co 2.747 1.034 7.530
Co 3.145 7.637 5.610


6
Lattice="-1.160 3.243 1.937 -4.197 -1.413 3.886 2.343 0.018 5.405" Properties=species:S:1:pos:R:3 comment="AcPrCo4 (PBE, relaxed)" ef_mev_per_atom=-12 e_above_lowest_polymorph_ev_per_fu=0.000 dos_at_fermi_per_ev_cell=5.423 m_tot_mub_per_cell=2.962 sg="Immm (71)" pbc="T T T"
Ac -1.507 0.924 5.614
Pr -1.160 3.243 1.937
Co -1.174 1.608 8.700
Co -3.352 1.131 8.194
Co -1.840 0.240 2.528
Co 0.338 0.717 3.034


26
Lattice="6.966 0.000 -0.735 0.000 10.787 0.000 -0.639 0.000 12.898" Properties=species:S:1:pos:R:3 comment="Ac9PrCo3 (PBE, relaxed)" ef_mev_per_atom=61 dos_at_fermi_per_ev_cell=32.572 m_tot_mub_per_cell=0.000 sg="P2_1/m (11)" pbc="T T T"
Ac 0.581 2.697 12.645
Ac 0.682 10.120 10.552
Ac 0.682 6.060 10.552
Ac 1.461 10.229 5.348
Ac 1.461 5.951 5.348
Ac 1.481 2.697 8.249
Ac 2.242 10.014 1.568
Ac 2.242 6.166 1.568
Ac 2.847 2.697 3.728
Ac 3.481 8.090 8.435
Ac 4.085 0.773 10.595
Ac 4.085 4.620 10.595
Ac 4.846 8.090 3.915
Ac 4.866 0.557 6.815
Ac 4.866 4.836 6.815
Ac 5.646 0.667 1.612
Ac 5.646 4.727 1.612
Ac 5.746 8.090 -0.482
Pr 6.360 2.697 4.378
Pr -0.033 8.090 7.785
Co 0.000 0.000 0.000
Co 0.000 5.393 0.000
Co 2.133 5.611 8.187
Co 2.133 10.569 8.187
Co 4.195 0.217 3.976
Co 4.195 5.176 3.976


12
Lattice="-2.530 2.201 -3.278 -7.157 -3.035 3.487 3.161 7.443 2.558" Properties=species:S:1:pos:R:3 comment="Ac2PrCo3 (PBE, relaxed)" ef_mev_per_atom=-3 dos_at_fermi_per_ev_cell=6.841 m_tot_mub_per_cell=3.519 sg="Cmcm (63)" pbc="T T T"
Ac -4.392 2.577 0.089
Ac -2.134 4.032 2.678
Ac -5.567 0.441 2.916
Ac -0.959 6.168 -0.149
Pr -1.766 0.070 -0.267
Pr -7.921 -0.903 0.476
Co -0.136 1.932 1.403
Co -5.125 3.576 3.003
Co -3.579 -1.517 1.743
Co -4.844 -0.417 0.105
Co -3.860 2.476 4.642
Co -1.401 3.033 -0.236


19
Lattice="8.744 0.000 3.091 -4.371 7.569 3.090 0.002 0.000 9.271" Properties=species:S:1:pos:R:3 comment="Ac12PrCo6 (PBE, relaxed)" ef_mev_per_atom=-11 dos_at_fermi_per_ev_cell=23.657 m_tot_mub_per_cell=0.005 sg="R-3 (148)" pbc="T T T"
Ac 0.786 6.127 6.947
Ac 2.163 6.629 12.328
Ac 5.701 2.382 11.593
Ac 3.588 1.442 8.504
Ac 2.212 0.940 3.124
Ac -1.327 5.187 3.858
Ac 0.550 3.828 10.042
Ac 6.819 1.443 6.215
Ac 0.286 2.385 6.144
Ac 3.825 3.741 5.410
Ac -2.445 6.126 9.236
Ac 4.088 5.184 9.308
Pr 0.000 0.000 0.000
Co 1.256 3.795 3.760
Co -1.722 4.605 6.834
Co 0.459 6.759 9.941
Co 3.119 3.774 11.692
Co 6.096 2.964 8.618
Co 3.916 0.810 5.510


20
Lattice="-4.247 -0.367 6.227 -6.878 -2.284 -4.826 2.207 -8.361 1.013" Properties=species:S:1:pos:R:3 comment="AcPr6Co3 (PBE, relaxed)" ef_mev_per_atom=82 dos_at_fermi_per_ev_cell=22.641 m_tot_mub_per_cell=0.000 sg="Cmc2_1 (36)" pbc="T T T"
Ac -1.106 -6.533 -0.034
Ac -6.714 -4.385 0.840
Pr -3.704 -7.852 -2.320
Pr -5.889 -7.994 0.754
Pr -4.899 -1.397 -0.454
Pr -2.447 -4.642 5.600
Pr -7.552 -2.678 -2.901
Pr -3.384 -6.512 2.700
Pr -4.170 -4.383 -2.284
Pr -1.479 -8.344 5.480
Pr -7.106 -6.426 -2.255
Pr -4.653 -9.670 3.799
Pr -1.526 -2.888 -0.542
Pr -3.711 -3.031 2.532
Co -0.380 -6.698 3.252
Co -9.158 -2.430 2.089
Co -3.963 -5.395 0.287
Co -5.904 -5.700 3.518
Co -10.042 -4.445 1.368
Co -1.264 -8.712 2.530


3
Lattice="4.144 0.000 0.000 -2.072 3.589 0.000 0.000 0.000 6.596" Properties=species:S:1:pos:R:3 comment="AcPrCo (PBE, relaxed)" ef_mev_per_atom=0 e_above_lowest_polymorph_ev_per_fu=0.073 dos_at_fermi_per_ev_cell=2.766 m_tot_mub_per_cell=0.000 sg="P3m1 (156)" pbc="T T T"
Pr 0.000 2.393 3.681
Ac 0.000 0.000 0.678
Co 2.072 1.196 2.237


20
Lattice="-6.333 2.102 1.243 -1.917 -8.504 4.612 3.428 5.643 7.927" Properties=species:S:1:pos:R:3 comment="AcPr3Co (PBE, relaxed)" ef_mev_per_atom=13 e_above_lowest_polymorph_ev_per_fu=0.221 dos_at_fermi_per_ev_cell=23.043 m_tot_mub_per_cell=0.000 sg="P2_1/c (14)" pbc="T T T"
Ac -6.333 -1.901 5.238
Ac 1.511 1.141 8.544
Ac -2.422 -0.944 5.016
Ac -2.400 0.184 8.766
Pr -1.256 -6.042 7.080
Pr -3.566 5.282 6.702
Pr -3.229 1.780 2.336
Pr -1.594 -2.540 11.446
Pr -3.745 -3.297 7.820
Pr -1.077 2.537 5.962
Pr -0.579 -1.019 1.565
Pr -4.243 0.259 12.218
Pr 0.049 -2.495 7.598
Pr -4.871 1.735 6.184
Pr -1.060 3.861 9.736
Pr -3.763 -4.621 4.046
Co -1.489 -4.096 9.120
Co -3.333 3.336 4.663
Co -1.795 6.216 8.661
Co -3.028 -6.976 5.121


3
Lattice="-4.635 0.002 1.868 -3.919 -0.614 -3.039 -2.636 -4.243 0.148" Properties=species:S:1:pos:R:3 comment="AcPrCo (PBE, relaxed)" ef_mev_per_atom=108 e_above_lowest_polymorph_ev_per_fu=0.397 dos_at_fermi_per_ev_cell=2.052 m_tot_mub_per_cell=0.000 sg="F-43m (216)" pbc="T T T"
Pr 0.000 0.000 0.000
Ac -5.595 -2.428 -0.511
Co -2.798 -1.214 -0.256


10
Lattice="-1.704 -6.297 -4.265 6.821 -1.395 3.503 -5.690 1.283 5.219" Properties=species:S:1:pos:R:3 comment="Ac3PrCo (PBE, relaxed)" ef_mev_per_atom=-27 e_above_lowest_polymorph_ev_per_fu=0.000 dos_at_fermi_per_ev_cell=11.376 m_tot_mub_per_cell=0.000 sg="C2/m (12)" pbc="T T T"
Ac -2.780 -4.912 -1.903
Ac 1.063 -1.830 2.044
Ac -1.635 -4.579 2.413
Ac 0.973 -4.883 -0.560
Ac 2.207 -1.496 6.360
Ac -1.546 -1.526 5.017
Pr -5.134 -3.514 0.996
Pr 4.561 -2.894 3.462
Co 2.052 -4.410 1.918
Co -2.625 -1.998 2.540


3
Lattice="3.617 0.000 0.000 0.000 3.617 0.000 -1.808 -1.808 6.799" Properties=species:S:1:pos:R:3 comment="AcPrCo (PBE, relaxed)" ef_mev_per_atom=110 e_above_lowest_polymorph_ev_per_fu=0.405 dos_at_fermi_per_ev_cell=3.478 m_tot_mub_per_cell=0.549 sg="I4mm (107)" pbc="T T T"
Pr 0.000 0.000 0.606
Ac 0.000 0.000 4.000
Co 1.808 1.808 2.193


4
Lattice="-1.455 -4.176 -2.459 1.812 -4.515 1.389 -3.031 -3.351 2.277" Properties=species:S:1:pos:R:3 comment="AcPrCo2 (PBE, relaxed)" ef_mev_per_atom=165 e_above_lowest_polymorph_ev_per_fu=0.644 dos_at_fermi_per_ev_cell=2.881 m_tot_mub_per_cell=0.988 sg="Fm-3m (225)" pbc="T T T"
Pr -1.337 -6.020 0.604
Ac 0.000 0.000 0.000
Co -0.668 -3.010 0.302
Co -2.005 -9.031 0.906


5
Lattice="-2.318 5.182 0.627 0.356 -0.528 5.676 5.207 2.343 -0.109" Properties=species:S:1:pos:R:3 comment="Ac3PrCo (PBE, relaxed)" ef_mev_per_atom=64 e_above_lowest_polymorph_ev_per_fu=0.454 dos_at_fermi_per_ev_cell=9.194 m_tot_mub_per_cell=0.009 sg="Pm-3m (221)" pbc="T T T"
Pr 1.623 3.498 3.097
Ac 0.178 -0.264 2.838
Ac 2.604 1.171 -0.054
Ac -1.159 2.591 0.314
Co 0.000 0.000 0.000


It is found that the uncorrected energy values, taken in the order of the records, are -56.48, -66.01, -27.89, -25.71, -36.04, -50.92, -54.23, -31.47, -37.38, -62.27, -34.33, -96.92, -53.28, -15.99, -25.49, -15.67, -24.35, -15.66, -22.44, -23.89 eV/f.u..